Density functional theory data (PBE) for a relaxed structure of TlRh2.

- Offset from the most stable computed form: 56.7 meV/atom
- Formation enthalpy at 0 K: 0.233 eV/atom
- ρ: 13.40 g/cm³
- Size of the total moment: 0.000 μB per atom
- Space group: No. 189

a = 5.0569 Å, b = 5.0569 Å, c = 4.5892 Å
α = 90.00°, β = 90.00°, γ = 120.00°
Atoms (fractional coordinates):
Tl1 0.3333 0.6667 0.0000
Tl2 0.6667 0.3333 0.0000
Rh1 0.0000 0.0000 0.0000
Rh2 0.0000 0.6934 0.5000
Rh3 0.3066 0.3066 0.5000
Rh4 0.6934 0.0000 0.5000

=====

Density functional theory data (PBE) for a relaxed structure of La2PmAg.

- Offset from the most stable computed form: 170.3 meV/atom
- Formation enthalpy at 0 K: 0.064 eV/atom
- ρ: 7.10 g/cm³
- Size of the total moment: 0.000 μB per atom
- Space group: No. 225

a = 7.9184 Å, b = 7.9184 Å, c = 7.9184 Å
α = 90.00°, β = 90.00°, γ = 90.00°
Atoms (fractional coordinates):
La1 0.2500 0.2500 0.2500
La2 0.2500 0.2500 0.7500
La3 0.2500 0.7500 0.2500
La4 0.2500 0.7500 0.7500
La5 0.7500 0.2500 0.2500
La6 0.7500 0.2500 0.7500
La7 0.7500 0.7500 0.2500
La8 0.7500 0.7500 0.7500
Pm1 0.0000 0.0000 0.0000
Pm2 0.0000 0.5000 0.5000
Pm3 0.5000 0.0000 0.5000
Pm4 0.5000 0.5000 0.0000
Ag1 0.0000 0.0000 0.5000
Ag2 0.0000 0.5000 0.0000
Ag3 0.5000 0.0000 0.0000
Ag4 0.5000 0.5000 0.5000

=====

Density functional theory data (PBE) for a relaxed structure of TiCrSbRu2.

- Formation energy (no corrections): 4.903 eV per formula unit
- ρ: 7.45 g/cm³
- Size of the total moment: 0.574 μB per atom
- Space group: No. 123

a = 4.5416 Å, b = 4.5416 Å, c = 4.5768 Å
α = 90.00°, β = 90.00°, γ = 90.00°
Atoms (fractional coordinates):
Ti1 0.0000 0.0000 0.0000
Cr1 0.0000 0.0000 0.5000
Sb1 0.5000 0.5000 0.5000
Ru1 0.0000 0.5000 0.0000
Ru2 0.5000 0.0000 0.0000

=====

Density functional theory data (PBE) for a relaxed structure of ScCr2Cu2.

- Offset from the most stable computed form: 76.9 meV/atom
- Formation enthalpy at 0 K: 0.329 eV/atom
- ρ: 6.13 g/cm³
- Size of the total moment: 0.000 μB per atom
- Space group: No. 139

a = 3.8788 Å, b = 3.8788 Å, c = 9.9473 Å
α = 90.00°, β = 90.00°, γ = 90.00°
Atoms (fractional coordinates):
Sc1 0.0000 0.0000 0.0000
Sc2 0.5000 0.5000 0.5000
Cr1 0.0000 0.0000 0.4062
Cr2 0.0000 0.0000 0.5938
Cr3 0.5000 0.5000 0.0938
Cr4 0.5000 0.5000 0.9062
Cu1 0.0000 0.5000 0.2500
Cu2 0.0000 0.5000 0.7500
Cu3 0.5000 0.0000 0.2500
Cu4 0.5000 0.0000 0.7500

=====

Looking at calculated total energy for the records above, in order, we have -16.371, -17.201, -35.290, -32.124 eV/f.u..